one | This record from the Alexandria database describes crystalline RbNbCu2 at its relaxed geometry. The functional is PBE-GGA.

It has space group Fm-3m (No. 225), with a = 7.028 Å, b = 7.028 Å, c = 7.028 Å, α = 90.00°, β = 90.00° and γ = 90.00°. The inequivalent atoms are Rb at (0.000, 0.000, 0.000), Nb at (0.000, 0.000, 0.500) and Cu at (0.250, 0.250, 0.250).

The density of states at the Fermi level comes out at 22.9 states/eV/cell. For the total magnetization, the calculation gives 12.34 μB/cell. Its volume is 21.69 Å³ per atom.

***

two | This record from the Alexandria database describes crystalline RbNbCu2 at its relaxed geometry. The functional is PBE-GGA.

It has space group I-42d (No. 122), with a = 7.665 Å, b = 7.665 Å, c = 7.357 Å, α = 90.00°, β = 90.00° and γ = 90.00°. The inequivalent atoms are Rb at (0.000, 0.000, 0.000), Nb at (0.000, 0.000, 0.500) and Cu at (0.172, 0.250, 0.625).

The density of states at the Fermi level comes out at 8.9 states/eV/cell. For the total magnetization, the calculation gives 7.61 μB/cell. Its volume is 27.01 Å³ per atom.

***

Each structure's energy above the most stable one, in kJ/mol of atoms: one 8.9; two 0.0.